! Ti8AsPb2 | Alexandria via LeMat-Bulk | PBE-GGA | relaxed; values from VASP
&SYSTEM
  ibrav = 0, nat = 11, ntyp = 3
/
ATOMIC_SPECIES
Ti 47.87 Ti.upf
As 74.92 As.upf
Pb 207.20 Pb.upf
ATOMIC_POSITIONS crystal
Ti 0.042 0.042 0.259
Ti 0.234 0.234 0.337
Ti 0.336 0.336 0.893
Ti 0.415 0.415 0.457
Ti 0.585 0.585 0.543
Ti 0.664 0.664 0.107
Ti 0.766 0.766 0.663
Ti 0.958 0.958 0.741
As 0.500 0.500 0.000
Pb 0.151 0.151 0.795
Pb 0.849 0.849 0.205
CELL_PARAMETERS angstrom
7.886 -2.400 0.000
7.886 2.400 0.000
-0.428 0.000 5.204
! E_form   -0.189 eV per atom
! DOS(E_F)   11.98 states/eV per cell

! TiAs2Pb | Alexandria via LeMat-Bulk | PBE-GGA | relaxed; values from VASP
&SYSTEM
  ibrav = 0, nat = 8, ntyp = 3
/
ATOMIC_SPECIES
Ti 47.87 Ti.upf
As 74.92 As.upf
Pb 207.20 Pb.upf
ATOMIC_POSITIONS crystal
Ti 0.000 0.000 0.000
Ti 0.750 0.250 0.500
As 0.061 0.625 0.936
As 0.375 0.311 0.436
As 0.689 0.125 0.064
As 0.875 0.939 0.564
Pb 0.250 0.750 0.500
Pb 0.500 0.500 0.000
CELL_PARAMETERS angstrom
-3.130 3.130 6.087
3.130 -3.130 6.087
3.130 3.130 -6.087
! E_form   -0.175 eV per atom
! DOS(E_F)   1.43 states/eV per cell

! TiAsPb3 | Alexandria via LeMat-Bulk | PBE-GGA | relaxed; values from VASP
&SYSTEM
  ibrav = 0, nat = 5, ntyp = 3
/
ATOMIC_SPECIES
Ti 47.87 Ti.upf
As 74.92 As.upf
Pb 207.20 Pb.upf
ATOMIC_POSITIONS crystal
Ti 0.000 0.000 0.000
As 0.500 0.500 0.500
Pb 0.000 0.000 0.500
Pb 0.000 0.500 0.000
Pb 0.500 0.000 0.000
CELL_PARAMETERS angstrom
5.412 0.000 0.000
0.000 5.412 0.000
0.000 0.000 5.412
! E_form   0.549 eV per atom
! DOS(E_F)   4.22 states/eV per cell
! Excess energy over the best structure of this formula in the dataset   0.000 eV per atom

! TlAsPb | Alexandria via LeMat-Bulk | PBE-GGA | relaxed; values from VASP
&SYSTEM
  ibrav = 0, nat = 3, ntyp = 3
/
ATOMIC_SPECIES
Tl 204.38 Tl.upf
As 74.92 As.upf
Pb 207.20 Pb.upf
ATOMIC_POSITIONS crystal
Tl 0.000 0.000 0.000
As 0.667 0.333 0.304
Pb 0.333 0.667 0.556
CELL_PARAMETERS angstrom
4.340 0.000 0.000
-2.170 3.758 0.000
0.000 0.000 5.765
! E_form   -0.016 eV per atom
! DOS(E_F)   1.09 states/eV per cell
! Excess energy over the best structure of this formula in the dataset   0.000 eV per atom

! TlAs3Pb | Alexandria via LeMat-Bulk | PBE-GGA | relaxed; values from VASP
&SYSTEM
  ibrav = 0, nat = 5, ntyp = 3
/
ATOMIC_SPECIES
Tl 204.38 Tl.upf
As 74.92 As.upf
Pb 207.20 Pb.upf
ATOMIC_POSITIONS crystal
Tl 0.000 0.000 0.000
As 0.000 0.500 0.500
As 0.500 0.000 0.500
As 0.500 0.500 0.000
Pb 0.500 0.500 0.500
CELL_PARAMETERS angstrom
5.482 0.000 0.000
0.000 5.482 0.000
0.000 0.000 5.482
! E_form   0.835 eV per atom
! DOS(E_F)   6.32 states/eV per cell
! Excess energy over the best structure of this formula in the dataset   0.000 eV per atom

! TlAs2Pb | Alexandria via LeMat-Bulk | PBE-GGA | relaxed; values from VASP
&SYSTEM
  ibrav = 0, nat = 8, ntyp = 3
/
ATOMIC_SPECIES
Tl 204.38 Tl.upf
As 74.92 As.upf
Pb 207.20 Pb.upf
ATOMIC_POSITIONS crystal
Tl 0.000 0.000 0.000
Tl 0.750 0.250 0.500
As 0.119 0.625 0.994
As 0.375 0.369 0.494
As 0.631 0.125 0.006
As 0.875 0.881 0.506
Pb 0.250 0.750 0.500
Pb 0.500 0.500 0.000
CELL_PARAMETERS angstrom
-3.245 3.245 6.531
3.245 -3.245 6.531
3.245 3.245 -6.531
! E_form   0.145 eV per atom
! DOS(E_F)   3.85 states/eV per cell
! Excess energy over the best structure of this formula in the dataset   0.110 eV per atom

- Which of these has the highest DOS(E_F)?
  Ti8AsPb2

- Number 6 is which compound?
  TlAs2Pb